1.
# Pm3Ir2

A geometry-optimized Pm3Ir2 structure (PBE-GGA, Alexandria).

```
10
Lattice="3.5560 2.0531 6.4303 -3.5560 2.0531 6.4303 0.0000 -4.1061 6.4303" Properties=species:S:1:pos:R:3 pbc="T T T"
Pm -2.3330 0.0653 8.0379
Pm -1.2230 -1.9877 11.2531
Pm 1.1099 -2.0531 8.0379
Pm -1.1099 2.0531 11.2531
Pm 1.2230 1.9877 8.0379
Pm 2.3330 -0.0653 11.2531
Ir 0.0000 0.0000 3.3130
Ir 0.0000 0.0000 6.3325
Ir 0.0000 0.0000 12.9585
Ir 0.0000 0.0000 15.9780
```

## Properties
**Density of states at the Fermi level**: 4.01 states/eV per cell
**Theoretical density**: 9.66 g cm⁻³
**Calculated formation energy**: -0.5800 eV/atom
**Total energy**: -6.975 eV per atom

***

2.
# Pm3Ir

A geometry-optimized Pm3Ir structure (PBE-GGA, Alexandria).

```
8
Lattice="1.9703 -6.0957 0.0000 1.9703 6.0957 0.0000 0.0000 0.0000 9.6892" Properties=species:S:1:pos:R:3 pbc="T T T"
Pm 1.9703 5.1252 7.2669
Pm 1.9703 1.7148 5.4994
Pm 1.9703 1.7148 9.0344
Pm 1.9703 -1.7148 0.6548
Pm 1.9703 -1.7148 4.1898
Pm 1.9703 -5.1252 2.4223
Ir 1.9703 3.1493 2.4223
Ir 1.9703 -3.1493 7.2669
```

## Properties
**Density of states at the Fermi level**: 10.34 states/eV per cell
**Theoretical density**: 8.95 g cm⁻³
**Calculated formation energy**: -0.4353 eV/atom
**Total energy**: -6.214 eV per atom

***

3.
# PmIr4

A geometry-optimized PmIr4 structure (PBE-GGA, Alexandria).

```
5
Lattice="4.9078 0.0000 0.0000 0.0000 4.9078 0.0000 0.0000 0.0000 4.9078" Properties=species:S:1:pos:R:3 pbc="T T T"
Pm 0.0000 0.0000 0.0000
Ir 0.0000 0.0000 2.4539
Ir 0.0000 2.4539 0.0000
Ir 2.4539 0.0000 0.0000
Ir 2.4539 2.4539 2.4539
```

## Properties
**Density of states at the Fermi level**: 7.46 states/eV per cell
**Theoretical density**: 12.84 g cm⁻³
**Calculated formation energy**: 2.6929 eV/atom
**Total energy**: -5.346 eV per atom

***

4.
# Pm2Ir

A geometry-optimized Pm2Ir structure (PBE-GGA, Alexandria).

```
3
Lattice="0.0000 3.4817 3.4817 3.4817 0.0000 3.4817 3.4817 3.4817 0.0000" Properties=species:S:1:pos:R:3 pbc="T T T"
Pm 1.7409 1.7409 1.7409
Pm 5.2226 5.2226 5.2226
Ir 0.0000 0.0000 0.0000
```

## Properties
**Density of states at the Fermi level**: 2.85 states/eV per cell
**Theoretical density**: 9.49 g cm⁻³
**Calculated formation energy**: -0.5598 eV/atom
**Total energy**: -6.681 eV per atom

***

5.
# PmIr5

A geometry-optimized PmIr5 structure (PBE-GGA, Alexandria).

```
6
Lattice="2.0106 -6.1908 0.0000 2.0106 6.1908 0.0000 0.0000 0.0000 3.9963" Properties=species:S:1:pos:R:3 pbc="T T T"
Pm 0.0000 0.0000 0.0000
Ir 2.0106 3.9837 1.9982
Ir 2.0106 2.1862 0.0000
Ir 2.0106 0.0000 1.9982
Ir 2.0106 -2.1862 0.0000
Ir 2.0106 -3.9837 1.9982
```

## Properties
**Density of states at the Fermi level**: 5.70 states/eV per cell
**Theoretical density**: 18.46 g cm⁻³
**Calculated formation energy**: -0.0820 eV/atom
**Total energy**: -8.258 eV per atom

***

6.
# Pm3Ir2

A geometry-optimized Pm3Ir2 structure (PBE-GGA, Alexandria).

```
20
Lattice="7.7387 0.0000 0.0000 0.0000 4.1921 0.0000 0.0000 0.0000 15.8942" Properties=species:S:1:pos:R:3 pbc="T T T"
Pm 0.1774 1.0480 1.6783
Pm 1.0386 3.1441 6.9372
Pm 1.2278 1.0480 11.4632
Pm 2.6415 3.1441 3.5160
Pm 2.8308 1.0480 14.8843
Pm 3.6919 3.1441 9.6254
Pm 4.0468 1.0480 6.2688
Pm 4.9079 3.1441 1.0099
Pm 5.0972 1.0480 12.3782
Pm 6.5108 3.1441 4.4311
Pm 6.7001 1.0480 8.9570
Pm 7.5612 3.1441 14.2159
Ir 1.0840 1.0480 4.7432
Ir 1.8503 3.1441 0.6730
Ir 2.0190 1.0480 8.6202
Ir 2.7853 3.1441 12.6903
Ir 4.9534 1.0480 3.2039
Ir 5.7196 3.1441 7.2741
Ir 5.8884 1.0480 15.2212
Ir 6.6546 3.1441 11.1510
```

## Properties
**Density of states at the Fermi level**: 12.48 states/eV per cell
**Theoretical density**: 10.56 g cm⁻³
**Calculated formation energy**: -0.6226 eV/atom
**Total energy**: -7.017 eV per atom

***

7.
# Pm2Ir

A geometry-optimized Pm2Ir structure (PBE-GGA, Alexandria).

```
3
Lattice="-1.7796 1.7796 6.6470 1.7796 -1.7796 6.6470 1.7796 1.7796 -6.6470" Properties=species:S:1:pos:R:3 pbc="T T T"
Pm 0.0000 0.0000 1.6541
Pm 0.0000 0.0000 11.6400
Ir 0.0000 0.0000 6.6470
```

## Properties
**Density of states at the Fermi level**: 2.84 states/eV per cell
**Theoretical density**: 9.51 g cm⁻³
**Calculated formation energy**: -0.4381 eV/atom
**Total energy**: -6.559 eV per atom

***

8.
# PmIr2

A geometry-optimized PmIr2 structure (PBE-GGA, Alexandria).

```
3
Lattice="-1.7663 1.7663 4.9711 1.7663 -1.7663 4.9711 1.7663 1.7663 -4.9711" Properties=species:S:1:pos:R:3 pbc="T T T"
Pm 0.0000 0.0000 0.0000
Ir 0.0000 0.0000 2.8648
Ir 0.0000 0.0000 7.0773
```

## Properties
**Density of states at the Fermi level**: 5.14 states/eV per cell
**Theoretical density**: 14.17 g cm⁻³
**Calculated formation energy**: -0.0810 eV/atom
**Total energy**: -7.572 eV per atom

***

9.
# Pm3Ir

A geometry-optimized Pm3Ir structure (PBE-GGA, Alexandria).

```
32
Lattice="11.8947 0.0000 0.0000 0.0000 11.8947 0.0000 0.0000 0.0000 6.4616" Properties=species:S:1:pos:R:3 pbc="T T T"
Pm 0.4018 7.0629 1.2971
Pm 1.1156 11.4929 4.5279
Pm 1.3423 7.9610 4.4871
Pm 1.4140 2.2888 0.1369
Pm 2.0136 10.5524 1.2563
Pm 2.2888 4.5334 3.0939
Pm 3.6585 1.4140 3.0939
Pm 3.9337 7.2896 1.2563
Pm 4.5334 3.6585 0.1369
Pm 4.6051 9.8810 4.4871
Pm 4.8318 6.3491 4.5279
Pm 5.5455 10.7791 1.2971
Pm 6.3491 1.1156 5.1645
Pm 7.0629 5.5455 1.9337
Pm 7.2896 2.0136 1.9745
Pm 7.3613 8.2362 6.3247
Pm 7.9610 4.6051 5.2053
Pm 8.2362 10.4807 3.3677
Pm 9.6058 7.3613 3.3677
Pm 9.8810 1.3423 5.2053
Pm 10.4807 9.6058 6.3247
Pm 10.5524 3.9337 1.9745
Pm 10.7791 0.4018 1.9337
Pm 11.4929 4.8318 5.1645
Ir 0.7094 2.1537 3.2349
Ir 2.1537 5.2379 6.4575
Ir 3.7936 0.7094 6.4575
Ir 5.2379 3.7936 3.2349
Ir 6.6567 8.1011 3.2267
Ir 8.1011 11.1853 0.0041
Ir 9.7409 6.6567 0.0041
Ir 11.1853 9.7409 3.2267
```

## Properties
**Density of states at the Fermi level**: 33.55 states/eV per cell
**Theoretical density**: 9.11 g cm⁻³
**Calculated formation energy**: -0.4073 eV/atom
**Total energy**: -6.186 eV per atom

***

10.
# Pm2PrIr2

A geometry-optimized Pm2PrIr2 structure (PBE-GGA, Alexandria).

```
10
Lattice="4.9588 0.0000 0.0000 0.0000 4.9853 0.0000 -0.0097 0.0000 10.5869" Properties=species:S:1:pos:R:3 pbc="T T T"
Pm 1.2332 1.2463 3.5671
Pm 1.2394 1.2463 0.0201
Pm 3.7096 3.7390 10.5668
Pm 3.7158 3.7390 7.0198
Pr 1.2373 1.2463 7.0822
Pr 3.7118 3.7390 3.5046
Ir 1.2327 3.7390 5.1665
Ir 1.2325 3.7390 8.9236
Ir 3.7165 1.2463 1.6632
Ir 3.7163 1.2463 5.4203
```

## Properties
**Density of states at the Fermi level**: 4.41 states/eV per cell
**Theoretical density**: 10.35 g cm⁻³
**Calculated formation energy**: -0.5743 eV/atom
**Total energy**: -6.975 eV per atom

***

11.
# Pm2PrIr

A geometry-optimized Pm2PrIr structure (PBE-GGA, Alexandria).

```
8
Lattice="3.9532 0.0000 0.0000 0.0000 9.7023 0.0000 -1.9742 0.0000 6.1529" Properties=species:S:1:pos:R:3 pbc="T T T"
Pm 0.0005 0.6584 1.7425
Pm 0.0005 4.1928 1.7425
Pm 1.9785 5.5095 4.4104
Pm 1.9785 9.0439 4.4104
Pr 0.0039 2.4256 5.1961
Pr 1.9751 7.2767 0.9568
Ir 0.0003 7.2767 3.1975
Ir 1.9787 2.4256 2.9554
```

## Properties
**Density of states at the Fermi level**: 10.43 states/eV per cell
**Theoretical density**: 8.77 g cm⁻³
**Calculated formation energy**: -0.4233 eV/atom
**Total energy**: -6.209 eV per atom

***

12.
# Pm5PrIr2

A geometry-optimized Pm5PrIr2 structure (PBE-GGA, Alexandria).

```
8
Lattice="-2.1262 3.6895 8.0188 2.1262 -3.6895 8.0188 2.1262 3.6895 -8.0188" Properties=species:S:1:pos:R:3 pbc="T T T"
Pm 0.0000 0.0000 0.0000
Pm 2.1262 1.8524 -2.5722
Pm 2.1262 1.8524 2.5722
Pm 0.0000 1.8372 5.4467
Pm 0.0000 1.8372 10.5910
Pr 0.0000 3.6895 0.0000
Ir 0.0000 0.0000 2.9639
Ir 0.0000 0.0000 13.0738
```

## Properties
**Density of states at the Fermi level**: 9.94 states/eV per cell
**Theoretical density**: 8.25 g cm⁻³
**Calculated formation energy**: -0.3683 eV/atom
**Total energy**: -6.150 eV per atom

***

13.
# PmPr2Ir2

A geometry-optimized PmPr2Ir2 structure (PBE-GGA, Alexandria).

```
10
Lattice="2.0273 -6.7316 0.0000 2.0273 6.7316 0.0000 0.0000 0.0000 10.0734" Properties=species:S:1:pos:R:3 pbc="T T T"
Pm 2.0273 4.7717 5.0367
Pm 2.0273 -4.7717 0.0000
Pr 2.0273 4.8310 8.7632
Pr 2.0273 1.3373 6.9177
Pr 2.0273 -1.3373 1.8810
Pr 2.0273 -4.8310 3.7265
Ir 2.0273 3.3050 1.8428
Ir 2.0273 0.0466 9.4583
Ir 2.0273 -0.0466 4.4216
Ir 2.0273 -3.3050 6.8795
```

## Properties
**Density of states at the Fermi level**: 5.81 states/eV per cell
**Theoretical density**: 9.80 g cm⁻³
**Calculated formation energy**: -0.5526 eV/atom
**Total energy**: -6.959 eV per atom

***

14.
# Pm12PrIr7

A geometry-optimized Pm12PrIr7 structure (PBE-GGA, Alexandria).

```
20
Lattice="7.3374 4.2362 3.3674 -7.3374 4.2362 3.3674 0.0000 -8.4725 3.3674" Properties=species:S:1:pos:R:3 pbc="T T T"
Pm -2.1728 0.5574 1.7096
Pm 0.6037 -2.1604 1.7096
Pm -3.8481 -1.0207 4.9865
Pm -1.0401 -3.8429 5.1155
Pm 1.5691 1.6030 1.7096
Pm -2.8080 2.8222 5.1155
Pm 2.8080 -2.8222 4.9866
Pm -1.5691 -1.6030 8.3925
Pm 1.0401 3.8429 4.9866
Pm 3.8481 1.0207 5.1155
Pm -0.6037 2.1604 8.3925
Pm 2.1728 -0.5574 8.3925
Pr 0.0000 0.0000 5.0510
Ir 0.0000 0.0000 0.0000
Ir -1.6969 -1.7610 3.3010
Ir -0.6766 2.3501 3.3010
Ir 2.3735 -0.5891 3.3010
Ir -2.3735 0.5891 6.8011
Ir 0.6766 -2.3501 6.8011
Ir 1.6969 1.7610 6.8011
```

## Properties
**Density of states at the Fermi level**: 15.41 states/eV per cell
**Theoretical density**: 8.53 g cm⁻³
**Calculated formation energy**: -0.4853 eV/atom
**Total energy**: -6.676 eV per atom

***

15.
# PmPr2Ir9

A geometry-optimized PmPr2Ir9 structure (PBE-GGA, Alexandria).

```
12
Lattice="2.6917 1.5541 8.8824 -2.6917 1.5541 8.8824 0.0000 -3.1082 8.8824" Properties=species:S:1:pos:R:3 pbc="T T T"
Pm 0.0000 0.0000 0.0000
Pr 0.0000 0.0000 3.7175
Pr 0.0000 0.0000 22.9297
Ir -1.3307 -0.7683 11.0236
Ir 0.0000 0.0000 8.8469
Ir 0.0000 -1.5366 15.6236
Ir -1.3307 0.7683 15.6236
Ir 0.0000 0.0000 13.3236
Ir 1.3307 -0.7683 11.0236
Ir 0.0000 1.5366 11.0236
Ir 0.0000 0.0000 17.8003
Ir 1.3307 0.7683 15.6237
```

## Properties
**Density of states at the Fermi level**: 11.00 states/eV per cell
**Theoretical density**: 16.06 g cm⁻³
**Calculated formation energy**: -0.5005 eV/atom
**Total energy**: -8.339 eV per atom

***

16.
# Pm2Pr2Ir3

A geometry-optimized Pm2Pr2Ir3 structure (PBE-GGA, Alexandria).

```
7
Lattice="6.6390 -2.1203 0.0000 6.6390 2.1203 0.0000 -1.4151 0.0000 7.2347" Properties=species:S:1:pos:R:3 pbc="T T T"
Pm 1.1323 0.0000 2.9513
Pm 10.7307 0.0000 4.2834
Pr 4.5539 0.0000 1.0683
Pr 7.3091 0.0000 6.1664
Ir 2.5327 0.0000 5.4896
Ir 5.9315 0.0000 3.6174
Ir 9.3303 0.0000 1.7451
```

## Properties
**Density of states at the Fermi level**: 4.02 states/eV per cell
**Theoretical density**: 9.36 g cm⁻³
**Calculated formation energy**: -0.5077 eV/atom
**Total energy**: -7.028 eV per atom

***

17.
# PmPr4Ir2

A geometry-optimized PmPr4Ir2 structure (PBE-GGA, Alexandria).

```
7
Lattice="2.4656 1.4235 10.2294 -2.4656 1.4235 10.2294 0.0000 -2.8470 10.2294" Properties=species:S:1:pos:R:3 pbc="T T T"
Pm 0.0000 0.0000 0.0000
Pr 0.0000 0.0000 6.1719
Pr 0.0000 0.0000 12.2369
Pr 0.0000 0.0000 18.4514
Pr 0.0000 0.0000 24.5163
Ir 0.0000 0.0000 3.0346
Ir 0.0000 0.0000 27.6536
```

## Properties
**Density of states at the Fermi level**: 8.03 states/eV per cell
**Theoretical density**: 8.43 g cm⁻³
**Calculated formation energy**: -0.3030 eV/atom
**Total energy**: -6.245 eV per atom

***

18.
# PmPr3Ir

A geometry-optimized PmPr3Ir structure (PBE-GGA, Alexandria).

```
10
Lattice="4.9588 -5.1276 0.0000 4.9588 5.1276 0.0000 -2.4851 0.0000 6.3725" Properties=species:S:1:pos:R:3 pbc="T T T"
Pm -0.0046 0.0000 1.6906
Pm 7.4372 0.0000 4.6818
Pr 2.4760 2.5661 1.6920
Pr 2.4718 0.0000 4.6580
Pr 4.9566 2.5661 4.6804
Pr 2.4760 -2.5661 1.6920
Pr 4.9608 0.0000 1.7145
Pr 4.9566 -2.5661 4.6804
Ir 2.4513 0.0000 0.0047
Ir 4.9813 0.0000 6.3678
```

## Properties
**Density of states at the Fermi level**: 11.32 states/eV per cell
**Theoretical density**: 7.79 g cm⁻³
**Calculated formation energy**: -0.2275 eV/atom
**Total energy**: -5.818 eV per atom

***

19.
# Pm3PrIr2

A geometry-optimized Pm3PrIr2 structure (PBE-GGA, Alexandria).

```
12
Lattice="4.8330 0.0000 0.0000 0.0000 8.9689 0.0000 0.0000 0.0000 7.3777" Properties=species:S:1:pos:R:3 pbc="T T T"
Pm 0.0000 0.7740 0.0000
Pm 0.0000 3.0039 2.6961
Pm 0.0000 5.9650 6.3850
Pm 0.0000 8.1950 3.6888
Pm 2.4165 1.4461 4.7625
Pm 2.4165 7.5228 1.0736
Pr 2.4165 3.7163 0.0694
Pr 2.4165 5.2526 3.7582
Ir 0.0000 2.9696 5.6031
Ir 0.0000 5.9994 1.9142
Ir 2.4165 1.4852 1.8475
Ir 2.4165 7.4838 5.5364
```

## Properties
**Density of states at the Fermi level**: 10.31 states/eV per cell
**Theoretical density**: 9.97 g cm⁻³
**Calculated formation energy**: -0.5836 eV/atom
**Total energy**: -6.709 eV per atom

***

20.
# PmPr5Ir4

A geometry-optimized PmPr5Ir4 structure (PBE-GGA, Alexandria).

```
10
Lattice="9.4212 -2.1745 0.0000 9.4212 2.1745 0.0000 -3.1455 0.0000 7.0416" Properties=species:S:1:pos:R:3 pbc="T T T"
Pm 0.0000 0.0000 0.0000
Pr -1.5727 0.0000 3.5208
Pr 6.0711 0.0000 0.5421
Pr 4.4490 0.0000 4.1729
Pr 11.2481 0.0000 2.8687
Pr 9.6259 0.0000 6.4994
Ir 3.1045 0.0000 1.3942
Ir 8.6294 0.0000 1.7724
Ir 7.0676 0.0000 5.2692
Ir 12.5925 0.0000 5.6473
```

## Properties
**Density of states at the Fermi level**: 5.62 states/eV per cell
**Theoretical density**: 9.31 g cm⁻³
**Calculated formation energy**: -0.5086 eV/atom
**Total energy**: -6.918 eV per atom

***

21.
# Pm2Pr3Ir2

A geometry-optimized Pm2Pr3Ir2 structure (PBE-GGA, Alexandria).

```
7
Lattice="6.2551 -1.9906 0.0000 6.2551 1.9906 0.0000 -3.9827 0.0000 8.2910" Properties=species:S:1:pos:R:3 pbc="T T T"
Pm 0.9146 0.0000 2.5777
Pm 7.6129 0.0000 5.7133
Pr 4.5083 0.0000 0.6121
Pr 4.2638 0.0000 4.1455
Pr 4.0192 0.0000 7.6789
Ir -0.6712 0.0000 6.1511
Ir 9.1988 0.0000 2.1399
```

## Properties
**Density of states at the Fermi level**: 6.86 states/eV per cell
**Theoretical density**: 8.82 g cm⁻³
**Calculated formation energy**: -0.4730 eV/atom
**Total energy**: -6.410 eV per atom

***

22.
# Pm2PrIr

A geometry-optimized Pm2PrIr structure (PBE-GGA, Alexandria).

```
4
Lattice="2.0325 1.1735 9.2300 -2.0325 1.1735 9.2300 0.0000 -2.3470 9.2300" Properties=species:S:1:pos:R:3 pbc="T T T"
Pm 0.0000 0.0000 0.0000
Pm 0.0000 0.0000 6.1110
Pr 0.0000 0.0000 12.3361
Ir 0.0000 0.0000 16.8989
```

## Properties
**Density of states at the Fermi level**: 4.38 states/eV per cell
**Theoretical density**: 7.83 g cm⁻³
**Calculated formation energy**: -0.2978 eV/atom
**Total energy**: -6.083 eV per atom